# 1
4
Lattice="5.429 0.000 0.000 2.714 4.701 0.000 2.714 1.567 4.433" Properties=species:S:1:pos:R:3 comment="LiCaNdCd (PBE, optimized geometry)" energy_ev_per_cell=-10.271 total_magnetization_mub_per_fu=0.00 space_group="No. 216" crystal_system=cubic pbc="T T T"
Ca 0.000 0.000 0.000
Li 2.714 1.567 1.108
Nd 5.429 3.134 2.216
Cd 8.143 4.701 3.324

=====

# 2
4
Lattice="3.847 0.000 0.000 0.000 3.847 0.000 0.000 0.000 9.391" Properties=species:S:1:pos:R:3 comment="LiPmEu2 (PBE, optimized geometry)" energy_ev_per_cell=-26.881 total_magnetization_mub_per_fu=15.32 space_group="No. 123" crystal_system=tetragonal de_polymorph_mev_per_atom=0 pbc="T T T"
Eu 0.000 0.000 7.284
Eu 0.000 0.000 2.107
Li 1.924 1.924 0.000
Pm 1.924 1.924 4.696

=====

# 3
10
Lattice="6.917 -1.209 -0.854 2.351 5.581 -0.019 2.351 1.847 5.266" Properties=species:S:1:pos:R:3 comment="Zr6CoHg3 (PBE, optimized geometry)" energy_ev_per_cell=-58.538 total_magnetization_mub_per_fu=0.00 space_group="No. 12" crystal_system=monoclinic pbc="T T T"
Zr 4.187 1.497 3.042
Zr 7.431 2.851 3.999
Zr 7.431 4.722 1.351
Zr 4.187 3.368 0.394
Zr 4.073 4.688 3.312
Zr 7.545 1.531 1.081
Co 5.809 3.110 2.197
Hg 2.637 0.869 0.614
Hg 8.981 5.350 3.780
Hg 0.000 0.000 0.000

=====

# 4
4
Lattice="4.741 0.000 0.000 0.000 4.317 0.000 0.000 0.000 4.317" Properties=species:S:1:pos:R:3 comment="TbMg2Ge (PBE, optimized geometry)" energy_ev_per_cell=-13.999 total_magnetization_mub_per_fu=0.00 space_group="No. 123" crystal_system=tetragonal pbc="T T T"
Ge 2.370 2.159 2.159
Tb 2.370 0.000 0.000
Mg 0.000 0.000 2.159
Mg 0.000 2.159 0.000

=====

# 5
12
Lattice="-2.014 1.427 4.016 -3.639 -8.339 1.138 7.829 -2.748 4.902" Properties=species:S:1:pos:R:3 comment="AcTl2InSb2 (PBE, optimized geometry)" energy_ev_per_cell=-44.021 total_magnetization_mub_per_fu=0.00 space_group="No. 26" e_form_raw_ev_per_atom=-0.3644 crystal_system=orthorhombic pbc="T T T"
Ac 0.095 -9.021 3.252
Ac 2.751 -5.145 3.207
Tl -0.490 -0.188 2.587
Tl 0.058 -3.713 1.348
Tl 3.941 -6.551 7.070
Tl 3.156 -9.608 4.996
In 4.491 -2.523 5.915
In -1.485 -5.234 3.881
Sb 5.686 -5.074 4.653
Sb 1.861 -2.179 4.474
Sb -2.006 -7.183 1.546
Sb 0.707 -6.582 5.459

=====

# 6
4
Lattice="-0.185 5.165 -3.216 1.731 -0.726 -5.791 -3.864 -0.921 4.613" Properties=species:S:1:pos:R:3 comment="KPW2 (PBE, optimized geometry)" energy_ev_per_cell=-27.492 total_magnetization_mub_per_fu=0.30 space_group="No. 44" crystal_system=orthorhombic de_polymorph_mev_per_atom=806 pbc="T T T"
K 0.743 2.134 -4.330
P -0.749 0.087 -2.437
W 0.010 0.027 -0.056
W -1.548 3.489 -2.075

=====

# 7
4
Lattice="0.000 3.709 3.709 3.709 0.000 3.709 3.709 3.709 0.000" Properties=species:S:1:pos:R:3 comment="BaZrSe2 (PBE, optimized geometry)" energy_ev_per_cell=-21.704 total_magnetization_mub_per_fu=2.00 space_group="No. 225" e_form_raw_ev_per_atom=-1.0660 crystal_system=cubic de_polymorph_mev_per_atom=391 pbc="T T T"
Se 1.855 1.855 1.855
Se 5.564 5.564 5.564
Ba 3.709 3.709 3.709
Zr 0.000 0.000 0.000

=====

# 8
9
Lattice="-3.843 -3.069 -0.402 2.380 -6.462 -3.704 -0.144 -4.613 6.312" Properties=species:S:1:pos:R:3 comment="DyEr4Tm4 (PBE, optimized geometry)" energy_ev_per_cell=-40.517 total_magnetization_mub_per_fu=0.00 space_group="No. 139" crystal_system=tetragonal pbc="T T T"
Dy 0.000 0.000 0.000
Er -0.978 -6.351 -2.735
Er -0.630 -7.793 4.941
Er -0.280 -11.581 0.232
Er -1.328 -2.562 1.974
Tm -1.814 -5.741 0.603
Tm 0.206 -8.402 1.603
Tm -2.306 -8.913 -0.762
Tm 0.698 -5.230 2.968

=====

Copy entry 4 word for word.
4
Lattice="4.741 0.000 0.000 0.000 4.317 0.000 0.000 0.000 4.317" Properties=species:S:1:pos:R:3 comment="TbMg2Ge (PBE, optimized geometry)" energy_ev_per_cell=-13.999 total_magnetization_mub_per_fu=0.00 space_group="No. 123" crystal_system=tetragonal pbc="T T T"
Ge 2.370 2.159 2.159
Tb 2.370 0.000 0.000
Mg 0.000 0.000 2.159
Mg 0.000 2.159 0.000